Below is an optimized crystal structure of Mn2ZnO4, with properties calculated at the PBE with a Hubbard U level.

a = 7.9440 Å, b = 7.9440 Å, c = 9.6011 Å
α = 125.66°, β = 125.66°, γ = 20.90°
Fractional coordinates of all 14 atoms:
Mn 0.1093 0.1093 0.3153
Mn 0.3514 0.3514 0.0185
Mn 0.6486 0.6486 0.9815
Mn 0.8907 0.8907 0.6847
Zn 0.1961 0.1961 0.6728
Zn 0.8039 0.8039 0.3272
O 0.0551 0.0551 0.8482
O 0.2611 0.2611 0.1350
O 0.3598 0.3598 0.7839
O 0.3671 0.3671 0.5174
O 0.6329 0.6329 0.4826
O 0.6402 0.6402 0.2161
O 0.7389 0.7389 0.8650
O 0.9449 0.9449 0.1519

space group: C2/m (12)
density: 4.6 g/cm³
total magnetization: 8.00 μB per formula unit
excess energy over the best structure of this formula in the dataset: 0.158 eV per atom